The following is a DFT calculation (PBE+U) of a geometry-optimized HfMoI2O structure.

a b c (Å): 5.8798 5.8798 3.9844
angles (deg): 90.00 90.00 90.00
With the nearest neighbours (Å) after each atom.
Fractional positions:
I 0.0000 0.5000 0.0000  2 Hf 2.94
I 0.5000 0.0000 0.0000  2 Hf 2.94
Mo 0.5000 0.5000 0.5000  8 I 3.55
Hf 0.0000 0.0000 0.0000  2 O 1.99
O 0.0000 0.0000 0.5000  2 Hf 1.99

- space-group type = P4/mmm
- VASP energy (eV per cell) = -28.149
- energy relative to the lowest polymorph listed for this composition (meV per atom) = 0.0